No. 1
Computed, not measured: a geometry-optimized InSi2Te structure at the PBE level of DFT.

As for the relative energy among the computed polymorphs: 367.9 meV per atom. The formation energy from raw total energies is 547 meV/atom.

The structure belongs to space group Pmmm (No. 47); the cell edges are 3.7572, 4.4526 and 5.3927 Å and the angles 90.00°, 90.00° and 90.00°. The asymmetric unit holds In at (0.0000, 0.0000, 0.0000), Si at (0.0000, 0.5000, 0.5000), Si at (0.5000, 0.5000, 0.0000) and Te at (0.5000, 0.0000, 0.5000).

=====

No. 2
Computed, not measured: a geometry-optimized Th2Fe2Si2N structure at the PBE level of DFT.

The formation energy from raw total energies is -811 meV/atom.

The structure belongs to space group C2/m (No. 12); the cell edges are 10.9675, 3.9252 and 7.0290 Å and the angles 90.00°, 129.85° and 90.00°. The asymmetric unit holds Th at (0.0575, 0.0000, 0.2937), Fe at (0.1931, 0.5000, 0.0746), Si at (0.1714, 0.5000, 0.7205) and N at (0.0000, 0.5000, 0.0000).

=====

No. 3
Computed, not measured: a geometry-optimized Dy2TmNi2 structure at the PBE level of DFT.

As for the relative energy among the computed polymorphs: 0.0 meV per atom. The value obtained for the formation energy from the elements is -0.357 eV per atom.

The structure belongs to space group C2/m (No. 12); the cell edges are 12.5909, 3.6644 and 10.9664 Å and the angles 90.00°, 118.73° and 90.00°. The asymmetric unit holds Dy at (0.0459, 0.0000, 0.1929), Dy at (0.1589, 0.0000, 0.5671), Tm at (0.2057, 0.5000, 0.8579), Ni at (0.0028, 0.5000, 0.3826) and Ni at (0.1129, 0.5000, 0.0458).

=====

No. 4
Computed, not measured: a geometry-optimized InCu2Ag2 structure at the PBE level of DFT.

As for the relative energy among the computed polymorphs: 121.6 meV per atom. The value obtained for the formation energy from the elements is 0.213 eV per atom.

The structure belongs to space group I4/mmm (No. 139); the cell edges are 3.8555, 3.8555 and 12.3212 Å and the angles 90.00°, 90.00° and 90.00°. The asymmetric unit holds In at (0.0000, 0.0000, 0.0000), Cu at (0.0000, 0.0000, 0.4040) and Ag at (0.0000, 0.5000, 0.2500).

=====

No. 5
Computed, not measured: a geometry-optimized LiReRh structure at the PBE level of DFT.

As for the relative energy among the computed polymorphs: 382.0 meV per atom. The value obtained for the formation energy from the elements is 0.467 eV per atom.

The structure belongs to space group F-43m (No. 216); the cell edges are 5.7635, 5.7635 and 5.7635 Å and the angles 90.00°, 90.00° and 90.00°. The asymmetric unit holds Li at (0.0000, 0.0000, 0.0000), Re at (0.0000, 0.0000, 0.5000) and Rh at (0.2500, 0.2500, 0.7500).

=====

No. 6
Computed, not measured: a geometry-optimized K2AgIrN structure at the PBE level of DFT.

The formation energy from raw total energies is 68 meV/atom.

The structure belongs to space group P4/mmm (No. 123); the cell edges are 5.9919, 5.9919 and 3.6949 Å and the angles 90.00°, 90.00° and 90.00°. The asymmetric unit holds K at (0.0000, 0.5000, 0.0000), Ag at (0.0000, 0.0000, 0.5000), Ir at (0.5000, 0.5000, 0.5000) and N at (0.5000, 0.5000, 0.0000).

=====

| no. | magnetization (μB/cell) | DFT total energy (Ry per atom) |
| --- | --- | --- |
| 1 | 0.0 | -0.267 |
| 2 | 0.0 | -0.594 |
| 3 | 0.0 | -0.397 |
| 4 | 0.0 | -0.229 |
| 5 | 0.0 | -0.498 |
| 6 | 0.0 | -0.322 |